# TeAu3N | Alexandria | PBE | optimized geometry
data_TeAu3N
_space_group_name_H-M_alt 'P 1'
_space_group_IT_number 1
_space_group_name_Hall 'P 1'
_cell_length_a 5.337
_cell_length_b 5.337
_cell_length_c 5.337
_cell_angle_alpha 90.00
_cell_angle_beta 90.00
_cell_angle_gamma 90.00
loop_
_atom_site_label
_atom_site_type_symbol
_atom_site_fract_x
_atom_site_fract_y
_atom_site_fract_z
Te1 Te 0.000 0.000 0.000
Au1 Au 0.000 0.000 0.500
Au2 Au 0.000 0.500 0.000
Au3 Au 0.500 0.000 0.000
N1 N 0.500 0.500 0.500
# M_tot: 0.5785 μB/atom
# calculated total energy: -14.3 eV/cell
# calculated density: 8.00 g/cm3
# SG: Pm-3m, No. 221

---

# Te2AuN | Alexandria | PBE | optimized geometry
data_Te2AuN
_space_group_name_H-M_alt 'P 1'
_space_group_IT_number 1
_space_group_name_Hall 'P 1'
_cell_length_a 7.151
_cell_length_b 7.151
_cell_length_c 7.151
_cell_angle_alpha 36.06
_cell_angle_beta 36.06
_cell_angle_gamma 36.06
loop_
_atom_site_label
_atom_site_type_symbol
_atom_site_fract_x
_atom_site_fract_y
_atom_site_fract_z
Te1 Te 0.096 0.096 0.096
Te2 Te 0.904 0.904 0.904
Au1 Au 0.500 0.500 0.500
N1 N 0.000 0.000 0.000
# M_tot: 0.0000 μB/atom
# calculated total energy: -15.5 eV/cell
# calculated density: 6.83 g/cm3
# SG: R-3m, No. 166

---

# Te3AuN | Alexandria | PBE | optimized geometry
data_Te3AuN
_space_group_name_H-M_alt 'P 1'
_space_group_IT_number 1
_space_group_name_Hall 'P 1'
_cell_length_a 5.389
_cell_length_b 5.389
_cell_length_c 5.389
_cell_angle_alpha 90.00
_cell_angle_beta 90.00
_cell_angle_gamma 90.00
loop_
_atom_site_label
_atom_site_type_symbol
_atom_site_fract_x
_atom_site_fract_y
_atom_site_fract_z
Te1 Te 0.000 0.000 0.500
Te2 Te 0.000 0.500 0.000
Te3 Te 0.500 0.000 0.000
Au1 Au 0.000 0.000 0.000
N1 N 0.500 0.500 0.500
# M_tot: 0.0000 μB/atom
# calculated total energy: -12.0 eV/cell
# calculated density: 6.30 g/cm3
# SG: Pm-3m, No. 221

---

# Te3AuN | Alexandria | PBE | optimized geometry
data_Te3AuN
_space_group_name_H-M_alt 'P 1'
_space_group_IT_number 1
_space_group_name_Hall 'P 1'
_cell_length_a 4.778
_cell_length_b 4.778
_cell_length_c 4.778
_cell_angle_alpha 90.00
_cell_angle_beta 90.00
_cell_angle_gamma 90.00
loop_
_atom_site_label
_atom_site_type_symbol
_atom_site_fract_x
_atom_site_fract_y
_atom_site_fract_z
Te1 Te 0.000 0.000 0.500
Te2 Te 0.000 0.500 0.000
Te3 Te 0.500 0.000 0.000
Au1 Au 0.500 0.500 0.500
N1 N 0.000 0.000 0.000
# M_tot: 0.0000 μB/atom
# calculated total energy: -16.8 eV/cell
# calculated density: 9.04 g/cm3
# SG: Pm-3m, No. 221

---

# Te2AuN2 | Alexandria | PBE | optimized geometry
data_Te2AuN2
_space_group_name_H-M_alt 'P 1'
_space_group_IT_number 1
_space_group_name_Hall 'P 1'
_cell_length_a 3.974
_cell_length_b 3.974
_cell_length_c 6.632
_cell_angle_alpha 90.00
_cell_angle_beta 90.00
_cell_angle_gamma 90.00
loop_
_atom_site_label
_atom_site_type_symbol
_atom_site_fract_x
_atom_site_fract_y
_atom_site_fract_z
Te1 Te 0.000 0.000 0.000
Te2 Te 0.000 0.000 0.500
Au1 Au 0.500 0.500 0.000
N1 N 0.000 0.500 0.500
N2 N 0.500 0.000 0.500
# M_tot: 0.0513 μB/atom
# calculated total energy: -19.7 eV/cell
# calculated density: 7.61 g/cm3
# SG: P4/mmm, No. 123

---

# TeAuN3 | Alexandria | PBE | optimized geometry
data_TeAuN3
_space_group_name_H-M_alt 'P 1'
_space_group_IT_number 1
_space_group_name_Hall 'P 1'
_cell_length_a 4.031
_cell_length_b 4.031
_cell_length_c 4.031
_cell_angle_alpha 90.00
_cell_angle_beta 90.00
_cell_angle_gamma 90.00
loop_
_atom_site_label
_atom_site_type_symbol
_atom_site_fract_x
_atom_site_fract_y
_atom_site_fract_z
Te1 Te 0.000 0.000 0.000
Au1 Au 0.500 0.500 0.500
N1 N 0.000 0.000 0.500
N2 N 0.000 0.500 0.000
N3 N 0.500 0.000 0.000
# M_tot: 0.4791 μB/atom
# calculated total energy: -21.2 eV/cell
# calculated density: 9.29 g/cm3
# SG: Pm-3m, No. 221

---

# TeAuN | Alexandria | PBE | optimized geometry
data_TeAuN
_space_group_name_H-M_alt 'P 1'
_space_group_IT_number 1
_space_group_name_Hall 'P 1'
_cell_length_a 5.752
_cell_length_b 5.752
_cell_length_c 5.857
_cell_angle_alpha 98.32
_cell_angle_beta 98.32
_cell_angle_gamma 35.34
loop_
_atom_site_label
_atom_site_type_symbol
_atom_site_fract_x
_atom_site_fract_y
_atom_site_fract_z
Te1 Te 0.129 0.129 0.354
Te2 Te 0.871 0.871 0.646
Au1 Au 0.366 0.366 0.026
Au2 Au 0.634 0.634 0.974
N1 N 0.321 0.321 0.379
N2 N 0.679 0.679 0.621
# M_tot: 0.0000 μB/atom
# calculated total energy: -25.2 eV/cell
# calculated density: 10.15 g/cm3
# SG: C2/m, No. 12

---

# TeAuN | Alexandria | PBE | optimized geometry
data_TeAuN
_space_group_name_H-M_alt 'P 1'
_space_group_IT_number 1
_space_group_name_Hall 'P 1'
_cell_length_a 11.378
_cell_length_b 4.072
_cell_length_c 7.825
_cell_angle_alpha 90.00
_cell_angle_beta 98.46
_cell_angle_gamma 90.00
loop_
_atom_site_label
_atom_site_type_symbol
_atom_site_fract_x
_atom_site_fract_y
_atom_site_fract_z
Te1 Te 0.145 0.250 0.156
Te2 Te 0.145 0.250 0.656
Te3 Te 0.855 0.750 0.344
Te4 Te 0.855 0.750 0.844
Au1 Au 0.108 0.750 0.398
Au2 Au 0.108 0.750 0.898
Au3 Au 0.892 0.250 0.102
Au4 Au 0.892 0.250 0.602
N1 N 0.484 0.577 0.051
N2 N 0.484 0.923 0.551
N3 N 0.516 0.077 0.449
N4 N 0.516 0.423 0.949
# M_tot: 0.0000 μB/atom
# calculated total energy: -58.1 eV/cell
# calculated density: 6.27 g/cm3
# SG: P2_1/c, No. 14

---

# Te2AuN2 | Alexandria | PBE | optimized geometry
data_Te2AuN2
_space_group_name_H-M_alt 'P 1'
_space_group_IT_number 1
_space_group_name_Hall 'P 1'
_cell_length_a 4.166
_cell_length_b 4.166
_cell_length_c 7.117
_cell_angle_alpha 90.00
_cell_angle_beta 90.00
_cell_angle_gamma 90.00
loop_
_atom_site_label
_atom_site_type_symbol
_atom_site_fract_x
_atom_site_fract_y
_atom_site_fract_z
Te1 Te 0.000 0.000 0.000
Te2 Te 0.500 0.500 0.000
Au1 Au 0.000 0.000 0.500
N1 N 0.000 0.500 0.500
N2 N 0.500 0.000 0.500
# M_tot: 0.7484 μB/atom
# calculated total energy: -18.3 eV/cell
# calculated density: 6.45 g/cm3
# SG: P4/mmm, No. 123

---

# Te2AuN2 | Alexandria | PBE | optimized geometry
data_Te2AuN2
_space_group_name_H-M_alt 'P 1'
_space_group_IT_number 1
_space_group_name_Hall 'P 1'
_cell_length_a 4.213
_cell_length_b 4.213
_cell_length_c 9.683
_cell_angle_alpha 90.34
_cell_angle_beta 90.34
_cell_angle_gamma 83.02
loop_
_atom_site_label
_atom_site_type_symbol
_atom_site_fract_x
_atom_site_fract_y
_atom_site_fract_z
Te1 Te 0.118 0.118 0.380
Te2 Te 0.882 0.882 0.620
Au1 Au 0.500 0.500 0.500
N1 N 0.432 0.432 0.036
N2 N 0.568 0.568 0.964
# M_tot: 0.0000 μB/atom
# calculated total energy: -25.8 eV/cell
# calculated density: 4.67 g/cm3
# SG: C2/m, No. 12

---

# Te2AuN2 | Alexandria | PBE | optimized geometry
data_Te2AuN2
_space_group_name_H-M_alt 'P 1'
_space_group_IT_number 1
_space_group_name_Hall 'P 1'
_cell_length_a 5.811
_cell_length_b 5.811
_cell_length_c 3.722
_cell_angle_alpha 90.00
_cell_angle_beta 90.00
_cell_angle_gamma 90.00
loop_
_atom_site_label
_atom_site_type_symbol
_atom_site_fract_x
_atom_site_fract_y
_atom_site_fract_z
Te1 Te 0.000 0.500 0.000
Te2 Te 0.500 0.000 0.000
Au1 Au 0.000 0.000 0.000
N1 N 0.000 0.000 0.500
N2 N 0.500 0.500 0.500
# M_tot: 0.4330 μB/atom
# calculated total energy: -16.3 eV/cell
# calculated density: 6.34 g/cm3
# SG: P4/mmm, No. 123

---

# TlTe2AuN | Alexandria | PBE | optimized geometry
data_TlTe2AuN
_space_group_name_H-M_alt 'P 1'
_space_group_IT_number 1
_space_group_name_Hall 'P 1'
_cell_length_a 5.912
_cell_length_b 5.912
_cell_length_c 4.172
_cell_angle_alpha 90.00
_cell_angle_beta 90.00
_cell_angle_gamma 90.00
loop_
_atom_site_label
_atom_site_type_symbol
_atom_site_fract_x
_atom_site_fract_y
_atom_site_fract_z
Tl1 Tl 0.000 0.000 0.000
Te1 Te 0.000 0.500 0.000
Te2 Te 0.500 0.000 0.000
Au1 Au 0.500 0.500 0.500
N1 N 0.000 0.000 0.500
# M_tot: 0.4464 μB/atom
# calculated total energy: -13.5 eV/cell
# calculated density: 7.64 g/cm3
# SG: P4/mmm, No. 123

---

# TlTe2AuN | Alexandria | PBE | optimized geometry
data_TlTe2AuN
_space_group_name_H-M_alt 'P 1'
_space_group_IT_number 1
_space_group_name_Hall 'P 1'
_cell_length_a 6.078
_cell_length_b 6.078
_cell_length_c 3.738
_cell_angle_alpha 90.00
_cell_angle_beta 90.00
_cell_angle_gamma 90.00
loop_
_atom_site_label
_atom_site_type_symbol
_atom_site_fract_x
_atom_site_fract_y
_atom_site_fract_z
Tl1 Tl 0.000 0.000 0.000
Te1 Te 0.000 0.500 0.500
Te2 Te 0.500 0.000 0.500
Au1 Au 0.500 0.500 0.500
N1 N 0.500 0.500 0.000
# M_tot: 0.0000 μB/atom
# calculated total energy: -16.6 eV/cell
# calculated density: 8.06 g/cm3
# SG: P4/mmm, No. 123

---

# TlTeAuN2 | Alexandria | PBE | optimized geometry
data_TlTeAuN2
_space_group_name_H-M_alt 'P 1'
_space_group_IT_number 1
_space_group_name_Hall 'P 1'
_cell_length_a 4.310
_cell_length_b 4.310
_cell_length_c 5.969
_cell_angle_alpha 90.00
_cell_angle_beta 90.00
_cell_angle_gamma 90.00
loop_
_atom_site_label
_atom_site_type_symbol
_atom_site_fract_x
_atom_site_fract_y
_atom_site_fract_z
Tl1 Tl 0.000 0.000 0.000
Te1 Te 0.500 0.500 0.000
Au1 Au 0.500 0.500 0.500
N1 N 0.000 0.500 0.500
N2 N 0.500 0.000 0.500
# M_tot: 0.6863 μB/atom
# calculated total energy: -17.8 eV/cell
# calculated density: 8.34 g/cm3
# SG: P4/mmm, No. 123